Entry 1:
DFT (PBE) results for a relaxed HfTiCl3 crystal.

Summary:
The total energy comes out at -4.836 eV/atom. As for the energy above the most stable polymorph in this dataset: 1139.1 meV/atom. Its crystal system is cubic. As for the formation energy (no corrections): -0.16 eV per atom. For the spin magnetization, the calculation gives 0.9088 μB/atom.

The structure in CIF format:
```
data_HfTiCl3
_cell_length_a 4.911
_cell_length_b 4.911
_cell_length_c 4.911
_cell_angle_alpha 90.00
_cell_angle_beta 90.00
_cell_angle_gamma 90.00
_symmetry_space_group_name_H-M 'P m -3 m'
_symmetry_Int_Tables_number 221
_symmetry_space_group_name_Hall '-P 4 2 3'
loop_
_atom_site_label
_atom_site_type_symbol
_atom_site_fract_x
_atom_site_fract_y
_atom_site_fract_z
Hf1 Hf 0.000 0.000 0.000
Ti1 Ti 0.500 0.500 0.500
Cl1 Cl 0.000 0.500 0.500
```



Entry 2:
DFT (PBE) results for a relaxed HfTi2Cl crystal.

Summary:
The total energy comes out at -6.864 eV/atom. As for the energy above the most stable polymorph in this dataset: 0.0 meV/atom. Its crystal system is tetragonal. As for the formation energy (no corrections): 0.03 eV per atom. For the spin magnetization, the calculation gives 0.0000 μB/atom.

The structure in CIF format:
```
data_HfTi2Cl
_cell_length_a 7.578
_cell_length_b 7.578
_cell_length_c 5.134
_cell_angle_alpha 90.00
_cell_angle_beta 90.00
_cell_angle_gamma 90.00
_symmetry_space_group_name_H-M 'I -4 2 d'
_symmetry_Int_Tables_number 122
_symmetry_space_group_name_Hall 'I -4 2bw'
loop_
_atom_site_label
_atom_site_type_symbol
_atom_site_fract_x
_atom_site_fract_y
_atom_site_fract_z
Hf1 Hf 0.000 0.000 0.000
Ti1 Ti 0.166 0.250 0.625
Cl1 Cl 0.000 0.000 0.500
```



Entry 3:
DFT (PBE) results for a relaxed Hf2TiCl crystal.

Summary:
The total energy comes out at -6.955 eV/atom. Its crystal system is tetragonal. As for the formation energy (no corrections): 0.46 eV per atom. For the spin magnetization, the calculation gives 0.0000 μB/atom.

The structure in CIF format:
```
data_Hf2TiCl
_cell_length_a 4.047
_cell_length_b 4.047
_cell_length_c 20.183
_cell_angle_alpha 90.00
_cell_angle_beta 90.00
_cell_angle_gamma 90.00
_symmetry_space_group_name_H-M 'I -4 2 d'
_symmetry_Int_Tables_number 122
_symmetry_space_group_name_Hall 'I -4 2bw'
loop_
_atom_site_label
_atom_site_type_symbol
_atom_site_fract_x
_atom_site_fract_y
_atom_site_fract_z
Hf1 Hf 0.249 0.250 0.125
Ti1 Ti 0.000 0.000 0.000
Cl1 Cl 0.000 0.000 0.500
```



Entry 4:
DFT (PBE) results for a relaxed Hf2TiCl crystal.

Summary:
The total energy comes out at -6.956 eV/atom. Its crystal system is cubic. As for the formation energy (no corrections): 0.46 eV per atom. For the spin magnetization, the calculation gives 0.6611 μB/atom.

The structure in CIF format:
```
data_Hf2TiCl
_cell_length_a 6.887
_cell_length_b 6.887
_cell_length_c 6.887
_cell_angle_alpha 90.00
_cell_angle_beta 90.00
_cell_angle_gamma 90.00
_symmetry_space_group_name_H-M 'F m -3 m'
_symmetry_Int_Tables_number 225
_symmetry_space_group_name_Hall '-F 4 2 3'
loop_
_atom_site_label
_atom_site_type_symbol
_atom_site_fract_x
_atom_site_fract_y
_atom_site_fract_z
Hf1 Hf 0.250 0.250 0.250
Ti1 Ti 0.000 0.000 0.000
Cl1 Cl 0.000 0.000 0.500
```



Entry 5:
DFT (PBE) results for a relaxed Hf3TiCl crystal.

Summary:
The total energy comes out at -6.926 eV/atom. As for the energy above the most stable polymorph in this dataset: 850.5 meV/atom. Its crystal system is cubic. As for the formation energy (no corrections): 0.99 eV per atom. For the spin magnetization, the calculation gives 0.0000 μB/atom.

The structure in CIF format:
```
data_Hf3TiCl
_cell_length_a 5.018
_cell_length_b 5.018
_cell_length_c 5.018
_cell_angle_alpha 90.00
_cell_angle_beta 90.00
_cell_angle_gamma 90.00
_symmetry_space_group_name_H-M 'P m -3 m'
_symmetry_Int_Tables_number 221
_symmetry_space_group_name_Hall '-P 4 2 3'
loop_
_atom_site_label
_atom_site_type_symbol
_atom_site_fract_x
_atom_site_fract_y
_atom_site_fract_z
Hf1 Hf 0.000 0.000 0.500
Ti1 Ti 0.000 0.000 0.000
Cl1 Cl 0.500 0.500 0.500
```



Entry 6:
DFT (PBE) results for a relaxed Hf2TiCl8 crystal.

Summary:
The total energy comes out at -5.329 eV/atom. Its crystal system is monoclinic. As for the formation energy (no corrections): -1.46 eV per atom. For the spin magnetization, the calculation gives 0.1772 μB/atom.

The structure in CIF format:
```
data_Hf2TiCl8
_cell_length_a 11.967
_cell_length_b 10.314
_cell_length_c 6.136
_cell_angle_alpha 90.00
_cell_angle_beta 95.28
_cell_angle_gamma 90.00
_symmetry_space_group_name_H-M 'C 1 2/m 1'
_symmetry_Int_Tables_number 12
loop_
_symmetry_equiv_pos_as_xyz
'x,y,z'
'-x,-y,-z'
'-x,y,-z'
'x,-y,z'
'x+1/2,y+1/2,z'
'-x+1/2,-y+1/2,-z'
'-x+1/2,y+1/2,-z'
'x+1/2,-y+1/2,z'
loop_
_atom_site_label
_atom_site_type_symbol
_atom_site_fract_x
_atom_site_fract_y
_atom_site_fract_z
Hf1 Hf 0.183 0.000 0.347
Ti1 Ti 0.000 0.000 0.000
Cl1 Cl 0.100 0.195 0.206
Cl2 Cl 0.131 0.500 0.728
Cl3 Cl 0.151 0.000 0.727
```



> What is the formation energy (no corrections) in the sixth record?

-1.46 eV per atom